# PBE BaLiInHg2, relaxed
# Energy of formation from the pure elements in meV per atom: -306
# Density of states at the Fermi level in states/eV/f.u.: 3.4
# Distance to the lowest polymorph of the same formula in meV/atom: 89
data_BaLiInHg2
_symmetry_space_group_name_H-M 'P 4/m m m'
_symmetry_Int_Tables_number 123
_symmetry_space_group_name_Hall '-P 4 2'
_cell_length_a 5.238
_cell_length_b 5.238
_cell_length_c 5.222
_cell_angle_alpha 90.00
_cell_angle_beta 90.00
_cell_angle_gamma 90.00
loop_
_atom_site_label
_atom_site_fract_x
_atom_site_fract_y
_atom_site_fract_z
Ba1 0.000 0.000 0.000
Li1 0.500 0.500 0.500
In1 0.500 0.500 0.000
Hg1 0.000 0.500 0.500